A relaxed CeThMg2 crystal, computed with PBE-GGA.

## Properties
VASP energy = -4.065 eV/atom
Formation energy from the elements = 0.07 eV/atom

Cell: 4.6191 4.6191 5.0824 Å, 90.00 90.00 90.00°
Space group P4/mmm (No. 123)
Asymmetric unit:
1 Ce 0.0000 0.0000 0.0000
2 Th 0.5000 0.5000 0.0000
3 Mg 0.0000 0.5000 0.5000



A relaxed Ce2ThMg crystal, computed with PBE-GGA.

## Properties
VASP energy = -4.987 eV/atom
Formation energy from the elements = 0.23 eV/atom

Cell: 3.3644 3.3644 36.9117 Å, 90.00 90.00 120.00°
Space group R-3m (No. 166, hexagonal axes)
Asymmetric unit:
1 Ce 0.0000 0.0000 0.0901
2 Th 0.0000 0.0000 0.5000
3 Mg 0.0000 0.0000 0.0000



A relaxed Ce2ThMg crystal, computed with PBE-GGA.

## Properties
VASP energy = -5.183 eV/atom
Formation energy from the elements = 0.04 eV/atom

Cell: 3.4742 3.4742 9.5077 Å, 90.00 90.00 90.00°
Space group P4/mmm (No. 123)
Asymmetric unit:
1 Ce 0.0000 0.0000 0.2477
2 Th 0.5000 0.5000 0.5000
3 Mg 0.5000 0.5000 0.0000



A relaxed CeTh2Mg crystal, computed with PBE-GGA.

## Properties
VASP energy = -5.490 eV/atom
Formation energy from the elements = 0.10 eV/atom

Cell: 5.9670 3.4462 11.7092 Å, 90.00 99.73 90.00°
Space group Cm (No. 8)
Asymmetric unit:
1 Ce 0.0000 0.0000 0.0000
2 Th 0.2493 0.0000 0.7473
3 Th 0.4173 0.0000 0.2526
4 Mg 0.3334 0.5000 0.4999



A relaxed CeTh2Mg crystal, computed with PBE-GGA.

## Properties
VASP energy = -5.302 eV/atom
Formation energy from the elements = 0.29 eV/atom

Cell: 3.3885 3.3885 37.5332 Å, 90.00 90.00 120.00°
Space group R-3m (No. 166, hexagonal axes)
Asymmetric unit:
1 Ce 0.0000 0.0000 0.0000
2 Th 0.0000 0.0000 0.4116
3 Mg 0.0000 0.0000 0.5000



A relaxed CeThMg4 crystal, computed with PBE-GGA.

## Properties
VASP energy = -3.265 eV/atom
Formation energy from the elements = 0.02 eV/atom

Cell: 8.5564 8.5564 8.5564 Å, 90.00 90.00 90.00°
Space group F-43m (No. 216)
Asymmetric unit:
1 Ce 0.0000 0.0000 0.0000
2 Th 0.2500 0.2500 0.7500
3 Mg 0.1250 0.1250 0.3750



A relaxed Ce4Th5Mg crystal, computed with PBE-GGA.

## Properties
VASP energy = -6.203 eV/atom
Formation energy from the elements = 0.04 eV/atom

Cell: 3.4718 3.4718 24.4953 Å, 90.00 90.00 90.00°
Space group P4/mmm (No. 123)
Asymmetric unit:
1 Ce 0.0000 0.0000 0.0994
2 Ce 0.0000 0.0000 0.2977
3 Th 0.5000 0.5000 0.0000
4 Th 0.5000 0.5000 0.1988
5 Th 0.5000 0.5000 0.4011
6 Mg 0.0000 0.0000 0.5000



A relaxed CeTh2Mg crystal, computed with PBE-GGA.

## Properties
VASP energy = -5.410 eV/atom
Formation energy from the elements = 0.18 eV/atom

Cell: 7.7364 7.7364 7.7364 Å, 90.00 90.00 90.00°
Space group Fm-3m (No. 225)
Asymmetric unit:
1 Ce 0.0000 0.0000 0.0000
2 Th 0.2500 0.2500 0.2500
3 Mg 0.0000 0.0000 0.5000



A relaxed CeTh2Mg crystal, computed with PBE-GGA.

## Properties
VASP energy = -5.506 eV/atom
Formation energy from the elements = 0.09 eV/atom

Cell: 4.9775 4.9775 4.7718 Å, 90.00 90.00 90.00°
Space group P4/mmm (No. 123)
Asymmetric unit:
1 Ce 0.0000 0.0000 0.0000
2 Th 0.0000 0.5000 0.5000
3 Mg 0.5000 0.5000 0.0000



A relaxed CeThMg2 crystal, computed with PBE-GGA.

## Properties
VASP energy = -4.053 eV/atom
Formation energy from the elements = 0.08 eV/atom

Cell: 3.2776 3.2776 35.4408 Å, 90.00 90.00 120.00°
Space group R-3m (No. 166, hexagonal axes)
Asymmetric unit:
1 Ce 0.0000 0.0000 0.0000
2 Th 0.0000 0.0000 0.5000
3 Mg 0.0000 0.0000 0.2509



A relaxed Ce2ThMg crystal, computed with PBE-GGA.

## Properties
VASP energy = -5.121 eV/atom
Formation energy from the elements = 0.10 eV/atom

Cell: 4.7828 4.7828 4.9922 Å, 90.00 90.00 90.00°
Space group P4/mmm (No. 123)
Asymmetric unit:
1 Ce 0.0000 0.5000 0.0000
2 Th 0.0000 0.0000 0.5000
3 Mg 0.5000 0.5000 0.5000



A relaxed Ce2ThMg crystal, computed with PBE-GGA.

## Properties
VASP energy = -4.998 eV/atom
Formation energy from the elements = 0.22 eV/atom

Cell: 7.7688 7.7688 7.7688 Å, 90.00 90.00 90.00°
Space group Fm-3m (No. 225)
Asymmetric unit:
1 Ce 0.2500 0.2500 0.2500
2 Th 0.0000 0.0000 0.0000
3 Mg 0.0000 0.0000 0.5000



A relaxed CeThMg2 crystal, computed with PBE-GGA.

## Properties
VASP energy = -4.035 eV/atom
Formation energy from the elements = 0.10 eV/atom

Cell: 7.6584 7.6584 7.6584 Å, 90.00 90.00 90.00°
Space group Fm-3m (No. 225)
Asymmetric unit:
1 Ce 0.0000 0.0000 0.0000
2 Th 0.0000 0.0000 0.5000
3 Mg 0.2500 0.2500 0.2500



A relaxed CeTh4Mg crystal, computed with PBE-GGA.

## Properties
VASP energy = -6.161 eV/atom
Formation energy from the elements = 0.04 eV/atom

Cell: 3.5316 3.5316 14.6328 Å, 90.00 90.00 90.00°
Space group P4/mmm (No. 123)
Asymmetric unit:
1 Ce 0.0000 0.0000 0.0000
2 Th 0.0000 0.0000 0.3377
3 Th 0.5000 0.5000 0.1654
4 Mg 0.5000 0.5000 0.5000